Entry 1:
A PBEsol-optimized structure of NaCdI3, computed with meta-GGA SCAN.

Output
**Formation energy (no corrections)**: -0.716 eV/atom
**DOS at the Fermi energy**: 0.3869 states/eV/atom

Lattice parameters (Å, degrees): 5.832 5.832 5.832 90.00 90.00 90.00
Space group Pm-3m (No. 221)
Unique sites:
Na  0.000  0.000  0.000
Cd  0.500  0.500  0.500
I  0.000  0.500  0.500

Entry 2:
A PBEsol-optimized structure of La2ZrAs, computed with meta-GGA SCAN.

Output
**ΔE_f**: -354 meV per atom
**DOS at the Fermi energy**: 1.0639 states/eV/atom

Lattice parameters (Å, degrees): 3.969 4.205 11.726 90.00 90.00 90.00
Space group Immm (No. 71)
Unique sites:
La  0.000  0.000  0.209
Zr  0.000  0.500  0.000
As  0.000  0.500  0.500

Entry 3:
A PBEsol-optimized structure of BaSr2Fe, computed with meta-GGA SCAN.

Output
**ΔE_f**: 597 meV per atom
**DOS at the Fermi energy**: 1.1466 states/eV/atom

Lattice parameters (Å, degrees): 5.277 5.277 5.316 90.00 90.00 90.00
Space group P4/mmm (No. 123)
Unique sites:
Ba  0.000  0.000  0.000
Sr  0.000  0.500  0.500
Fe  0.500  0.500  0.000

Entry 4:
A PBEsol-optimized structure of FeRu5, computed with meta-GGA SCAN.

Output
**ΔE_f**: 57 meV per atom
**DOS at the Fermi energy**: 0.8486 states/eV/atom

Lattice parameters (Å, degrees): 4.185 2.662 13.743 90.00 90.00 90.00
Space group Amm2 (No. 38)
Unique sites:
Fe  0.000  0.000  0.000
Ru  0.000  0.000  0.335
Ru  0.000  0.000  0.663
Ru  0.500  0.000  0.222
Ru  0.500  0.000  0.552
Ru  0.500  0.000  0.891

Entry 5:
A PBEsol-optimized structure of CaY2In2, computed with meta-GGA SCAN.

Output
**ΔE_f**: -563 meV per atom
**DOS at the Fermi energy**: 0.7471 states/eV/atom

Lattice parameters (Å, degrees): 8.479 8.479 3.917 90.00 90.00 90.00
Space group P4/mbm (No. 127)
Unique sites:
Ca  0.000  0.000  0.000
Y  0.174  0.326  0.500
In  0.125  0.625  0.000

Entry 6:
A PBEsol-optimized structure of La2MgBe, computed with meta-GGA SCAN.

Output
**ΔE_f**: 251 meV per atom
**DOS at the Fermi energy**: 0.8644 states/eV/atom

Lattice parameters (Å, degrees): 3.4741 3.4741 30.9018 90.00 90.00 120.00
Space group R-3m (No. 166, hexagonal axes)
Unique sites:
La  0.0000  0.0000  0.2345
Mg  0.0000  0.0000  0.0000
Be  0.0000  0.0000  0.5000

Entry 7:
A PBEsol-optimized structure of Tl12In17, computed with meta-GGA SCAN.

Output
**ΔE_f**: 101 meV per atom
**DOS at the Fermi energy**: 0.4616 states/eV/atom

Lattice parameters (Å, degrees): 11.621 11.621 11.621 90.00 90.00 90.00
Space group I-43m (No. 217)
Unique sites:
Tl  0.095  0.095  0.289
In  0.000  0.000  0.000
In  0.051  0.362  0.362
In  0.175  0.175  0.825

Entry 8:
A PBEsol-optimized structure of RbYIn2P, computed with meta-GGA SCAN.

Output
**ΔE_f**: 1623 meV per atom
**DOS at the Fermi energy**: 0.8607 states/eV/atom

Lattice parameters (Å, degrees): 5.624 5.624 5.769 90.00 90.00 90.00
Space group P4/mmm (No. 123)
Unique sites:
Rb  0.000  0.000  0.000
Y  0.000  0.000  0.500
In  0.000  0.500  0.000
P  0.500  0.500  0.500

Entry 9:
A PBEsol-optimized structure of MgIr2Rh, computed with meta-GGA SCAN.

Output
**ΔE_f**: -241 meV per atom
**DOS at the Fermi energy**: 0.9371 states/eV/atom

Lattice parameters (Å, degrees): 5.412 7.736 2.707 90.00 90.00 90.00
Space group Cmmm (No. 65)
Unique sites:
Mg  0.000  0.000  0.000
Ir  0.250  0.250  0.500
Rh  0.000  0.500  0.000

Entry 10:
A PBEsol-optimized structure of TcRuSe2, computed with meta-GGA SCAN.

Output
**Formation energy (no corrections)**: -0.061 eV/atom
**DOS at the Fermi energy**: 0.6471 states/eV/atom

Lattice parameters (Å, degrees): 2.931 2.931 7.834 90.00 90.00 90.00
Space group P4mm (No. 99)
Unique sites:
Tc  0.000  0.000  0.000
Ru  0.500  0.500  0.250
Se  0.000  0.000  0.429
Se  0.500  0.500  0.820

Entry 11:
A PBEsol-optimized structure of LiHCO2, computed with meta-GGA SCAN.

Output
**DOS at the Fermi energy**: 0.0000 states/eV/atom
**DFT total energy**: -0.2612 hartree per atom

Lattice parameters (Å, degrees): 11.981 12.055 13.515 90.00 100.37 90.00
Space group C2/c (No. 15)
Unique sites:
Li  0.002  0.170  0.009
Li  0.007  0.403  0.912
Li  0.082  0.022  0.158
Li  0.167  0.441  0.748
H  0.075  0.302  0.188
H  0.162  0.178  0.764
H  0.231  0.118  0.422
H  0.234  0.359  0.028
C  0.053  0.365  0.127
C  0.110  0.208  0.691
C  0.159  0.089  0.364
C  0.249  0.392  0.954
O  0.015  0.328  0.040
O  0.061  0.098  0.385
O  0.068  0.134  0.629
O  0.070  0.465  0.150
O  0.097  0.311  0.680
O  0.149  0.103  0.058
O  0.163  0.420  0.891
O  0.182  0.049  0.284

Entry 12:
A PBEsol-optimized structure of TlAgBr3, computed with meta-GGA SCAN.

Output
**Formation energy (no corrections)**: -0.094 eV/atom
**DOS at the Fermi energy**: 0.2415 states/eV/atom

Lattice parameters (Å, degrees): 5.542 5.542 5.542 90.00 90.00 90.00
Space group Pm-3m (No. 221)
Unique sites:
Tl  0.000  0.000  0.000
Ag  0.500  0.500  0.500
Br  0.000  0.000  0.500

Entry 13:
A PBEsol-optimized structure of HgSbTe2Cl, computed with meta-GGA SCAN.

Output
**Formation energy (no corrections)**: 0.788 eV/atom
**DOS at the Fermi energy**: 1.1641 states/eV/atom

Lattice parameters (Å, degrees): 5.280 5.280 5.417 90.00 90.00 90.00
Space group P4/mmm (No. 123)
Unique sites:
Hg  0.000  0.000  0.000
Sb  0.500  0.500  0.000
Te  0.000  0.500  0.500
Cl  0.500  0.500  0.500

Entry 14:
A PBEsol-optimized structure of Cs2AgBr, computed with meta-GGA SCAN.

Output
**Formation energy (no corrections)**: -0.921 eV/atom
**DOS at the Fermi energy**: 0.0000 states/eV/atom

Lattice parameters (Å, degrees): 8.574 8.574 8.574 90.00 90.00 90.00
Space group Fm-3m (No. 225)
Unique sites:
Cs  0.250  0.250  0.250
Ag  0.000  0.000  0.000
Br  0.000  0.000  0.500

Entry 15:
A PBEsol-optimized structure of Ti2AgBAu, computed with meta-GGA SCAN.

Output
**ΔE_f**: 1791 meV per atom
**DOS at the Fermi energy**: 0.9615 states/eV/atom

Lattice parameters (Å, degrees): 4.732 4.732 4.819 90.00 90.00 90.00
Space group P4/mmm (No. 123)
Unique sites:
Ti  0.000  0.500  0.000
Ag  0.000  0.000  0.000
B  0.500  0.500  0.500
Au  0.000  0.000  0.500

Entry 16:
A PBEsol-optimized structure of HfSc3Tc, computed with meta-GGA SCAN.

Output
**ΔE_f**: 1341 meV per atom
**DOS at the Fermi energy**: 1.0269 states/eV/atom

Lattice parameters (Å, degrees): 4.944 4.944 4.944 90.00 90.00 90.00
Space group Pm-3m (No. 221)
Unique sites:
Hf  0.000  0.000  0.000
Sc  0.000  0.000  0.500
Tc  0.500  0.500  0.500

Entry 17:
A PBEsol-optimized structure of BeOsBr2, computed with meta-GGA SCAN.

Output
**Formation energy (no corrections)**: 0.846 eV/atom
**DOS at the Fermi energy**: 0.2925 states/eV/atom

Lattice parameters (Å, degrees): 3.0983 3.0983 28.4139 90.00 90.00 120.00
Space group R-3m (No. 166, hexagonal axes)
Unique sites:
Be  0.0000  0.0000  0.0000
Os  0.0000  0.0000  0.5000
Br  0.0000  0.0000  0.2829

Entry 18:
A PBEsol-optimized structure of Sb4Au3, computed with meta-GGA SCAN.

Output
**Formation energy (no corrections)**: 0.154 eV/atom
**DOS at the Fermi energy**: 0.3850 states/eV/atom

Lattice parameters (Å, degrees): 3.470 3.470 25.867 90.00 90.00 90.00
Space group I4/mmm (No. 139)
Unique sites:
Sb  0.000  0.000  0.065
Sb  0.000  0.000  0.340
Au  0.000  0.000  0.220
Au  0.000  0.000  0.500

Entry 19:
A PBEsol-optimized structure of CrOsCl, computed with meta-GGA SCAN.

Output
**Formation energy (no corrections)**: 0.363 eV/atom
**DOS at the Fermi energy**: 0.6028 states/eV/atom

Lattice parameters (Å, degrees): 2.911 4.886 12.980 90.00 90.00 90.00
Space group Fmm2 (No. 42)
Unique sites:
Cr  0.000  0.000  0.000
Os  0.000  0.000  0.355
Cl  0.000  0.000  0.641

Entry 20:
A PBEsol-optimized structure of RbSCl2F, computed with meta-GGA SCAN.

Output
**Formation energy (no corrections)**: 0.173 eV/atom
**DOS at the Fermi energy**: 1.5153 states/eV/atom

Lattice parameters (Å, degrees): 6.124 6.124 7.000 90.00 90.00 90.00
Space group P4/mmm (No. 123)
Unique sites:
Rb  0.000  0.000  0.000
S  0.000  0.000  0.500
Cl  0.000  0.500  0.000
F  0.500  0.500  0.500

Entry 21:
A PBEsol-optimized structure of LiCo2Re, computed with meta-GGA SCAN.

Output
**ΔE_f**: 324 meV per atom
**DOS at the Fermi energy**: 0.7767 states/eV/atom

Lattice parameters (Å, degrees): 2.587 3.412 5.171 90.00 90.00 90.00
Space group Pmmm (No. 47)
Unique sites:
Li  0.000  0.000  0.000
Co  0.500  0.500  0.249
Re  0.000  0.000  0.500

Entry 22:
A PBEsol-optimized structure of Mg2InRu, computed with meta-GGA SCAN.

Output
**ΔE_f**: -95 meV per atom
**DOS at the Fermi energy**: 0.5137 states/eV/atom

Lattice parameters (Å, degrees): 3.978 3.978 8.794 90.00 90.00 90.00
Space group I4/mmm (No. 139)
Unique sites:
Mg  0.000  0.500  0.250
In  0.000  0.000  0.000
Ru  0.000  0.000  0.500

Entry 23:
A PBEsol-optimized structure of Sr2TaMn, computed with meta-GGA SCAN.

Output
**ΔE_f**: 585 meV per atom
**DOS at the Fermi energy**: 0.9275 states/eV/atom

Lattice parameters (Å, degrees): 3.296 3.769 18.443 90.00 90.00 90.00
Space group Immm (No. 71)
Unique sites:
Sr  0.000  0.000  0.153
Ta  0.000  0.500  0.000
Mn  0.000  0.500  0.500